[1]
VASP calculation (PBE-GGA) on a relaxed structure of TlFeTeAuS2.

Calculated values
Symmetry: Cmcm (63)
Uncorrected energy (eV/atom): -4.347
Mass density (Mg/m³): 7.73

Cell lengths 8.2067, 8.2067, 10.3231 Å; angles 90.00, 90.00, 156.36 degrees
Fractional coordinates of all 12 atoms:
S 0.5981 0.4019 0.5215
S 0.4019 0.5981 0.4785
S 0.4019 0.5981 0.0215
S 0.5981 0.4019 0.9785
Te 0.9550 0.0450 0.7500
Te 0.0450 0.9550 0.2500
Fe 0.0000 0.0000 0.0000
Fe 0.0000 0.0000 0.5000
Tl 0.2795 0.7205 0.7500
Tl 0.7205 0.2795 0.2500
Au 0.3794 0.6206 0.2500
Au 0.6206 0.3794 0.7500

=====

[2]
VASP calculation (PBE-GGA) on a relaxed structure of BiBPt3.

Calculated values
Symmetry: C2/m (12)
Uncorrected energy (eV/atom): -5.986
Mass density (Mg/m³): 16.09

Cell lengths 6.0591, 6.0591, 6.0058 Å; angles 112.20, 112.20, 56.56 degrees
Fractional coordinates of all 10 atoms:
Pt 0.0568 0.5628 0.2549
Pt 0.9432 0.4372 0.7451
Pt 0.4372 0.9432 0.7451
Pt 0.9416 0.9416 0.7434
Pt 0.0584 0.0584 0.2566
Pt 0.5628 0.0568 0.2549
Bi 0.4244 0.4244 0.7101
Bi 0.5756 0.5756 0.2899
B 0.8399 0.8399 0.9960
B 0.1601 0.1601 0.0040

=====

[3]
VASP calculation (PBE-GGA) on a relaxed structure of Ta2CuB2.

Calculated values
Symmetry: Cmmm (65)
Uncorrected energy (eV/atom): -8.687
Mass density (Mg/m³): 12.85

Cell lengths 5.9293, 5.9293, 3.2936 Å; angles 90.00, 90.00, 150.07 degrees
Fractional coordinates of all 5 atoms:
B 0.7903 0.2097 0.0000
B 0.2097 0.7903 0.0000
Ta 0.3632 0.6368 0.5000
Ta 0.6368 0.3632 0.5000
Cu 0.0000 0.0000 0.0000

=====

[4]
VASP calculation (PBE-GGA) on a relaxed structure of Ac2Dy.

Calculated values
Symmetry: Fd-3m (227)
Uncorrected energy (eV/atom): -1.589
Mass density (Mg/m³): 2.65
Energy of formation (eV per atom): 2.682

Cell lengths 10.3016, 10.3016, 10.3016 Å; angles 60.00, 60.00, 60.00 degrees
Fractional coordinates of all 6 atoms:
Dy 0.2500 0.2500 0.2500
Dy 0.5000 0.5000 0.5000
Ac 0.8750 0.3750 0.3750
Ac 0.3750 0.3750 0.3750
Ac 0.3750 0.8750 0.3750
Ac 0.3750 0.3750 0.8750

=====

[5]
VASP calculation (PBE-GGA) on a relaxed structure of NaTaTlCo.

Calculated values
Symmetry: F-43m (216)
Uncorrected energy (eV/atom): -4.949
ΔE to the lowest computed polymorph (eV per formula unit): 0.521
Mass density (Mg/m³): 10.84

Cell lengths 4.6598, 4.6598, 4.6598 Å; angles 60.00, 60.00, 60.00 degrees
Fractional coordinates of all 4 atoms:
Na 0.7500 0.7500 0.7500
Ta 0.2500 0.2500 0.2500
Tl 0.5000 0.5000 0.5000
Co 0.0000 0.0000 0.0000

=====

[6]
VASP calculation (PBE-GGA) on a relaxed structure of MoI2.

Calculated values
Symmetry: Fd-3m (227)
Uncorrected energy (eV/atom): -4.054
ΔE to the lowest computed polymorph (eV per formula unit): 2.890
Mass density (Mg/m³): 2.23

Cell lengths 9.0261, 9.0261, 9.0261 Å; angles 60.00, 60.00, 60.00 degrees
Fractional coordinates of all 6 atoms:
I 0.3750 0.3750 0.3750
I 0.8750 0.3750 0.3750
I 0.3750 0.3750 0.8750
I 0.3750 0.8750 0.3750
Mo 0.5000 0.5000 0.5000
Mo 0.2500 0.2500 0.2500

=====

[7]
VASP calculation (PBE-GGA) on a relaxed structure of Sr2In3SnIr2.

Calculated values
Symmetry: Cm (8)
Uncorrected energy (eV/atom): -4.611
Mass density (Mg/m³): 8.67

Cell lengths 5.9632, 5.9632, 7.9699 Å; angles 90.31, 90.31, 43.71 degrees
Fractional coordinates of all 8 atoms:
In 0.8507 0.8507 0.4449
In 0.1535 0.1535 0.9494
In 0.8442 0.8442 0.0506
Sn 0.1551 0.1551 0.5540
Sr 0.4381 0.4381 0.7511
Sr 0.5617 0.5617 0.2525
Ir 0.7156 0.7156 0.7427
Ir 0.2810 0.2810 0.2548

=====

[8]
VASP calculation (PBE-GGA) on a relaxed structure of Dy4MgTc.

Calculated values
Symmetry: C2/c (15)
Uncorrected energy (eV/atom): -5.134
Mass density (Mg/m³): 7.61

Cell lengths 7.8061, 7.8061, 6.2178 Å; angles 100.20, 100.20, 110.57 degrees
Fractional coordinates of all 12 atoms:
Mg 0.6212 0.3788 0.7500
Mg 0.3788 0.6212 0.2500
Dy 0.2730 0.9362 0.5509
Dy 0.9362 0.2730 0.0509
Dy 0.7270 0.0638 0.4491
Dy 0.3581 0.1903 0.1198
Dy 0.8097 0.6419 0.3802
Dy 0.1903 0.3581 0.6198
Dy 0.6419 0.8097 0.8802
Dy 0.0638 0.7270 0.9491
Tc 0.0010 0.9990 0.7500
Tc 0.9990 0.0010 0.2500